Record 1
Sm3Bi2P | PBE | relaxed

Properties
Excess energy over the best structure of this formula in the dataset   0 meV/atom
Formation energy   -24.8 kcal/mol of atoms

Unit cell a=7.6467 b=7.6467 c=7.5575 alpha=99.56 beta=99.56 gamma=119.27
With the nearest neighbours (Å) after each atom.
Fractional positions:
Sm  0.0000  0.5000  0.0000  2 P 3.11, 4 Bi 3.12-3.13
Sm  0.1449  0.2949  0.4966  2 P 2.95-2.96, 4 Bi 3.15-3.29
Sm  0.2949  0.1449  0.9966  2 P 2.95-2.96, 4 Bi 3.15-3.29
Sm  0.5000  0.0000  0.5000  2 P 3.11, 4 Bi 3.12-3.13
Sm  0.7051  0.8551  0.0034  2 P 2.95-2.96, 4 Bi 3.15-3.29
Sm  0.8551  0.7051  0.5034  2 P 2.95-2.96, 4 Bi 3.15-3.29
Bi  0.2580  0.7420  0.7500  6 Sm 3.12-3.24
Bi  0.4180  0.5820  0.2500  6 Sm 3.13-3.29
Bi  0.5820  0.4180  0.7500  6 Sm 3.13-3.29
Bi  0.7420  0.2580  0.2500  6 Sm 3.12-3.24
P  0.0850  0.9150  0.2500  6 Sm 2.95-3.11
P  0.9150  0.0850  0.7500  6 Sm 2.95-3.11

***

Record 2
Sm7BiP5 | PBE | relaxed

Properties
Formation energy   -32.2 kcal/mol of atoms

Unit cell a=7.1037 b=7.1037 c=24.5111 alpha=90.00 beta=90.00 gamma=145.91
With the nearest neighbours (Å) after each atom.
Fractional positions:
Sm  0.0264  0.9736  0.7500  2 P 2.81
Sm  0.1358  0.8642  0.0342  6 P 2.89-2.93
Sm  0.1358  0.8642  0.4658  6 P 2.89-2.93
Sm  0.3267  0.6733  0.6702  3 P 2.76-2.82
Sm  0.3267  0.6733  0.8298  3 P 2.76-2.82
Sm  0.4085  0.5915  0.1032  5 P 2.82-2.92
Sm  0.4085  0.5915  0.3968  5 P 2.82-2.92
Sm  0.5915  0.4085  0.6032  5 P 2.82-2.92
Sm  0.5915  0.4085  0.8968  5 P 2.82-2.92
Sm  0.6733  0.3267  0.1702  3 P 2.76-2.82
Sm  0.6733  0.3267  0.3298  3 P 2.76-2.82
Sm  0.8642  0.1358  0.5342  6 P 2.89-2.93
Sm  0.8642  0.1358  0.9658  6 P 2.89-2.93
Sm  0.9736  0.0264  0.2500  2 P 2.81
Bi  0.2971  0.7029  0.2500  6 Sm 3.17-3.32
Bi  0.7029  0.2971  0.7500  6 Sm 3.17-3.32
P  0.0424  0.9576  0.1419  6 Sm 2.81-2.93
P  0.0424  0.9576  0.3581  6 Sm 2.81-2.93
P  0.2279  0.7721  0.5719  6 Sm 2.76-2.93
P  0.2279  0.7721  0.9281  6 Sm 2.76-2.93
P  0.5000  0.5000  0.0000  6 Sm 2.82-2.91
P  0.5000  0.5000  0.5000  6 Sm 2.82-2.91
P  0.7721  0.2279  0.0719  6 Sm 2.76-2.93
P  0.7721  0.2279  0.4281  6 Sm 2.76-2.93
P  0.9576  0.0424  0.6419  6 Sm 2.81-2.93
P  0.9576  0.0424  0.8581  6 Sm 2.81-2.93

***

Record 3
Sm4Bi3P | PBE | relaxed

Properties
Formation energy   -23.8 kcal/mol of atoms

Unit cell a=7.7204 b=7.7204 c=4.4170 alpha=90.00 beta=90.00 gamma=109.11
With the nearest neighbours (Å) after each atom.
Fractional positions:
Sm  0.2295  0.2295  0.5000  2 P 3.02, 4 Bi 3.15-3.28
Sm  0.2387  0.7613  0.0000  1 P 3.00, 5 Bi 3.15-3.29
Sm  0.7613  0.2387  0.0000  1 P 3.00, 5 Bi 3.15-3.29
Sm  0.7705  0.7705  0.5000  2 P 3.02, 4 Bi 3.15-3.28
Bi  0.0000  0.5000  0.5000  6 Sm 3.15
Bi  0.5000  0.0000  0.5000  6 Sm 3.15
Bi  0.5000  0.5000  0.0000  6 Sm 3.28-3.29
P  0.0000  0.0000  0.0000  6 Sm 3.00-3.02

***

Record 4
Sm3Bi2P | PBE | relaxed

Properties
Excess energy over the best structure of this formula in the dataset   78 meV/atom
Formation energy   -23.0 kcal/mol of atoms

Unit cell a=4.3341 b=4.3341 c=22.6694 alpha=90.00 beta=90.00 gamma=120.00
With the nearest neighbours (Å) after each atom.
Fractional positions:
Sm  0.0000  0.0000  0.0000  6 Bi 3.18
Sm  0.0000  0.0000  0.5000  6 Bi 3.18
Sm  0.3333  0.6667  0.1738  3 P 3.04, 3 Bi 3.19
Sm  0.3333  0.6667  0.3262  3 P 3.04, 3 Bi 3.19
Sm  0.6667  0.3333  0.6738  3 P 3.04, 3 Bi 3.19
Sm  0.6667  0.3333  0.8262  3 P 3.04, 3 Bi 3.19
Bi  0.3333  0.6667  0.5863  6 Sm 3.18-3.19
Bi  0.3333  0.6667  0.9137  6 Sm 3.18-3.19
Bi  0.6667  0.3333  0.0863  6 Sm 3.18-3.19
Bi  0.6667  0.3333  0.4137  6 Sm 3.18-3.19
P  0.0000  0.0000  0.2500  6 Sm 3.04
P  0.0000  0.0000  0.7500  6 Sm 3.04

***

- formation energy of number 3 (Sm4Bi3P)?
  -23.8 kcal/mol of atoms